(1)
{"formula": "Nd6Hg2S3", "functional": "PBE", "state": "optimized geometry", "lattice_angstrom": [[-5.112, 4.903, -0.120], [-6.163, -1.386, -3.200], [-4.419, -0.940, 6.224]], "species": ["Nd", "Nd", "Nd", "Nd", "Nd", "Nd", "Hg", "Hg", "S", "S", "S"], "frac_coords": [[0.411, 0.675, 0.775], [0.732, 0.000, 0.787], [0.086, 0.325, 0.775], [0.268, 0.000, 0.213], [0.589, 0.325, 0.225], [0.914, 0.675, 0.225], [0.161, 0.678, 0.500], [0.839, 0.322, 0.500], [0.000, 0.000, 0.000], [0.327, 0.347, 0.000], [0.673, 0.653, 0.000]], "total_energy_ev_per_atom": -4.969, "dos_at_fermi_per_ev_atom": 0.7066, "e_form_raw_ev_per_atom": -1.19, "sg": "No. 12"}

(2)
{"formula": "Pm3Cd", "functional": "PBE", "state": "optimized geometry", "lattice_angstrom": [[3.465, 0.000, 0.000], [0.000, 3.515, 0.000], [0.000, 0.000, 10.733]], "species": ["Cd", "Pm", "Pm", "Pm"], "frac_coords": [[0.000, 0.000, 0.973], [0.000, 0.500, 0.469], [0.500, 0.500, 0.176], [0.500, 0.000, 0.715]], "relative_energy_mev_per_atom": 213, "total_energy_ev_per_atom": -3.718, "dos_at_fermi_per_ev_atom": 1.3389, "delta_e_f_mev_per_atom": 74, "sg": "No. 25"}

(3)
{"formula": "AlInAsO6", "functional": "PBE", "state": "optimized geometry", "lattice_angstrom": [[4.969, 0.000, 0.000], [-2.484, 4.303, 0.000], [0.000, 0.000, 9.096]], "species": ["Al", "Al", "In", "In", "As", "As", "O", "O", "O", "O", "O", "O", "O", "O", "O", "O", "O", "O"], "frac_coords": [[0.667, 0.333, 0.250], [0.333, 0.667, 0.750], [0.000, 0.000, 0.000], [0.000, 0.000, 0.500], [0.333, 0.667, 0.250], [0.667, 0.333, 0.750], [0.634, 0.641, 0.139], [0.008, 0.366, 0.139], [0.366, 0.008, 0.639], [0.992, 0.634, 0.861], [0.359, 0.366, 0.361], [0.008, 0.641, 0.361], [0.641, 0.008, 0.861], [0.634, 0.992, 0.361], [0.992, 0.359, 0.639], [0.359, 0.992, 0.139], [0.641, 0.634, 0.639], [0.366, 0.359, 0.861]], "total_energy_ev_per_atom": -6.207, "dos_at_fermi_per_ev_atom": 0.3923, "e_form_raw_ev_per_atom": -1.66, "sg": "No. 163"}

(4)
{"formula": "KIrSeBr2", "functional": "PBE", "state": "optimized geometry", "lattice_angstrom": [[5.482, 0.000, 0.000], [0.000, 5.482, 0.000], [0.000, 0.000, 4.676]], "species": ["K", "Ir", "Se", "Br", "Br"], "frac_coords": [[0.500, 0.500, 0.500], [0.000, 0.000, 0.000], [0.000, 0.000, 0.500], [0.000, 0.500, 0.000], [0.500, 0.000, 0.000]], "relative_energy_mev_per_atom": 0, "total_energy_ev_per_atom": -3.803, "dos_at_fermi_per_ev_atom": 0.3949, "e_form_raw_ev_per_atom": -0.45, "sg": "No. 123"}